1.
## Rb3PdI6 (PBE)

Data for crystalline Rb3PdI6 at its relaxed geometry.

a b c (Å): 8.4393 9.2896 11.9479
angles (deg): 90.00 87.04 90.00
Atoms (fractional coordinates):
1 Rb 0.5000 0.5000 0.0000
2 I 0.7634 0.6575 0.5374
3 I 0.1652 0.2705 0.0746
4 I 0.2366 0.3425 0.4626
5 Rb 0.5335 0.9210 0.7543
6 I 0.7366 0.1575 0.9626
7 I 0.3348 0.7705 0.4254
8 I 0.3846 0.5505 0.7113
9 Rb 0.0000 0.0000 0.5000
10 Rb 0.0335 0.5790 0.2543
11 Pd 0.0000 0.0000 0.0000
12 I 0.8348 0.7295 0.9254
13 I 0.1154 0.0505 0.7887
14 Pd 0.5000 0.5000 0.5000
15 I 0.6154 0.4495 0.2887
16 Rb 0.9665 0.4210 0.7457
17 I 0.2634 0.8425 0.0374
18 Rb 0.4665 0.0790 0.2457
19 I 0.8846 0.9495 0.2113
20 I 0.6652 0.2295 0.5746

Uncorrected formation energy ... -0.8897 eV per atom
Distance to the lowest polymorph of the same formula ... 0.0 kJ/mol of atoms
Total DFT energy (no corrections) ... -0.09663 Ha/atom
Fermi-level density of states ... 0.14 states/eV/atom

=====

2.
## Pm2VP2N6 (PBE)

Data for crystalline Pm2VP2N6 at its relaxed geometry.

a b c (Å): 5.4529 5.4529 6.1056
angles (deg): 63.48 63.48 60.00
Atoms (fractional coordinates):
1 N 0.7547 0.7547 0.2407
2 N 0.2500 0.7547 0.2407
3 Pm 0.7810 0.7810 0.6569
4 Pm 0.2190 0.2190 0.3431
5 P 0.5663 0.5663 0.3011
6 N 0.7547 0.2500 0.2407
7 V 0.0000 0.0000 0.0000
8 P 0.4337 0.4337 0.6989
9 N 0.2453 0.7500 0.7593
10 N 0.2453 0.2453 0.7593
11 N 0.7500 0.2453 0.7593

Uncorrected formation energy ... -0.8674 eV per atom
Total DFT energy (no corrections) ... -0.29711 Ha/atom
Fermi-level density of states ... 0.29 states/eV/atom

=====

3.
## SmPaGe2 (PBE)

Data for crystalline SmPaGe2 at its relaxed geometry.

a b c (Å): 3.3542 3.3542 8.0641
angles (deg): 90.00 90.00 90.00
Atoms (fractional coordinates):
1 Ge 0.0000 0.0000 0.2447
2 Pa 0.5000 0.5000 0.0000
3 Ge 0.0000 0.0000 0.7553
4 Sm 0.5000 0.5000 0.5000

Distance to the lowest polymorph of the same formula ... 13.0 kJ/mol of atoms
Total DFT energy (no corrections) ... -0.23336 Ha/atom
Fermi-level density of states ... 1.17 states/eV/atom

=====

4.
## Ac3Rh2Pb3 (PBE)

Data for crystalline Ac3Rh2Pb3 at its relaxed geometry.

a b c (Å): 4.8202 6.2592 16.7020
angles (deg): 90.00 90.00 112.65
Atoms (fractional coordinates):
1 Ac 0.0703 0.1407 0.6103
2 Rh 0.1995 0.3990 0.1125
3 Ac 0.3506 0.7012 0.7500
4 Rh 0.8005 0.6010 0.6125
5 Pb 0.3575 0.7150 0.9673
6 Pb 0.3538 0.7076 0.2500
7 Ac 0.0703 0.1407 0.8897
8 Pb 0.6462 0.2924 0.7500
9 Ac 0.6494 0.2988 0.2500
10 Ac 0.9297 0.8593 0.3897
11 Rh 0.8005 0.6010 0.8875
12 Rh 0.1995 0.3990 0.3875
13 Ac 0.9297 0.8593 0.1103
14 Pb 0.6425 0.2850 0.4673
15 Pb 0.3575 0.7150 0.5327
16 Pb 0.6425 0.2850 0.0327

Total DFT energy (no corrections) ... -0.19523 Ha/atom
Fermi-level density of states ... 0.81 states/eV/atom

=====

5.
## Pu2PaGe3 (PBE)

Data for crystalline Pu2PaGe3 at its relaxed geometry.

a b c (Å): 3.2524 3.2524 12.3489
angles (deg): 90.00 90.00 90.00
Atoms (fractional coordinates):
1 Pu 0.5000 0.5000 0.8324
2 Pa 0.5000 0.5000 0.5000
3 Pu 0.5000 0.5000 0.1676
4 Ge 0.0000 0.0000 0.3340
5 Ge 0.0000 0.0000 0.0000
6 Ge 0.0000 0.0000 0.6660

Distance to the lowest polymorph of the same formula ... 0.0 kJ/mol of atoms
Total DFT energy (no corrections) ... -0.33382 Ha/atom
Fermi-level density of states ... 2.57 states/eV/atom

=====

6.
## OsAuN2 (PBE)

Data for crystalline OsAuN2 at its relaxed geometry.

a b c (Å): 5.0745 5.0745 5.7408
angles (deg): 63.77 63.77 90.00
Atoms (fractional coordinates):
1 N 0.2042 0.6250 0.2500
2 Os 0.5000 0.5000 0.0000
3 N 0.8750 0.7958 0.7500
4 N 0.3750 0.4542 0.7500
5 N 0.5458 0.1250 0.2500
6 Au 0.7500 0.2500 0.5000
7 Os 0.2500 0.7500 0.5000
8 Au 0.0000 0.0000 0.0000

Uncorrected formation energy ... 0.8537 eV per atom
Distance to the lowest polymorph of the same formula ... 16.5 kJ/mol of atoms
Total DFT energy (no corrections) ... -0.25488 Ha/atom
Fermi-level density of states ... 0.35 states/eV/atom

=====

7.
## Th4SnPd15 (PBE)

Data for crystalline Th4SnPd15 at its relaxed geometry.

a b c (Å): 4.1964 4.1964 20.8407
angles (deg): 90.00 90.00 90.00
Atoms (fractional coordinates):
1 Pd 0.0000 0.5000 0.0956
2 Pd 0.5000 0.5000 0.3986
3 Pd 0.0000 0.5000 0.2972
4 Pd 0.5000 0.0000 0.7028
5 Sn 0.0000 0.0000 0.0000
6 Pd 0.5000 0.5000 0.8032
7 Th 0.0000 0.0000 0.1922
8 Th 0.0000 0.0000 0.8078
9 Pd 0.5000 0.5000 0.6014
10 Pd 0.0000 0.5000 0.9044
11 Pd 0.5000 0.0000 0.5000
12 Pd 0.5000 0.5000 0.1968
13 Pd 0.5000 0.5000 0.0000
14 Th 0.0000 0.0000 0.3973
15 Pd 0.0000 0.5000 0.7028
16 Pd 0.5000 0.0000 0.0956
17 Pd 0.0000 0.5000 0.5000
18 Pd 0.5000 0.0000 0.9044
19 Th 0.0000 0.0000 0.6027
20 Pd 0.5000 0.0000 0.2972

Total DFT energy (no corrections) ... -0.23610 Ha/atom
Fermi-level density of states ... 0.17 states/eV/atom

=====

8.
## NaMg2Ti (PBE)

Data for crystalline NaMg2Ti at its relaxed geometry.

a b c (Å): 5.0350 5.0350 5.0350
angles (deg): 60.00 60.00 60.00
Atoms (fractional coordinates):
1 Mg 0.7500 0.7500 0.7500
2 Na 0.0000 0.0000 0.0000
3 Ti 0.5000 0.5000 0.5000
4 Mg 0.2500 0.2500 0.2500

Distance to the lowest polymorph of the same formula ... 0.0 kJ/mol of atoms
Total DFT energy (no corrections) ... -0.09779 Ha/atom
Fermi-level density of states ... 0.88 states/eV/atom

=====

9.
## Pr2Sm6HoTm3 (PBE)

Data for crystalline Pr2Sm6HoTm3 at its relaxed geometry.

a b c (Å): 6.2389 6.2389 11.8985
angles (deg): 95.01 95.01 120.00
Atoms (fractional coordinates):
1 Tm 0.5000 0.5000 0.5000
2 Tm 0.1664 0.8336 0.5000
3 Pr 0.3334 0.6666 0.0000
4 Pr 0.6666 0.3334 0.0000
5 Ho 0.0000 0.0000 0.0000
6 Sm 0.9150 0.5830 0.7452
7 Sm 0.2471 0.2471 0.7449
8 Sm 0.7529 0.7529 0.2551
9 Sm 0.4170 0.0850 0.2548
10 Tm 0.8336 0.1664 0.5000
11 Sm 0.5830 0.9150 0.7452
12 Sm 0.0850 0.4170 0.2548

Total DFT energy (no corrections) ... -0.17037 Ha/atom
Fermi-level density of states ... 1.27 states/eV/atom

=====

> The lowest total DFT energy (no corrections) belongs to which entry?

Pu2PaGe3

=====

> Fermi-level density of states of number 5 (Pu2PaGe3)?

2.57 states/eV/atom